Record 1
Te2PPt | GGA-PBE | optimized geometry

a = 6.947 Å, b = 6.947 Å, c = 6.947 Å
α = 90.00°, β = 90.00°, γ = 90.00°
Space group F-43m (No. 216)
Inequivalent atoms, fractional coordinates:
Te  0.000  0.000  0.000 (multiplicity 4)
Te  0.250  0.250  0.250 (multiplicity 4)
P  0.000  0.000  0.500 (multiplicity 4)
Pt  0.250  0.250  0.750 (multiplicity 4)


Record 2
Te2PPt | GGA-PBE | optimized geometry

a = 4.0024 Å, b = 4.0024 Å, c = 19.2511 Å
α = 90.00°, β = 90.00°, γ = 120.00°
Space group R-3m (No. 166, hexagonal axes)
Inequivalent atoms, fractional coordinates:
Te  0.0000  0.0000  0.2452 (multiplicity 6)
P  0.0000  0.0000  0.0000 (multiplicity 3)
Pt  0.0000  0.0000  0.5000 (multiplicity 3)


Respective uncorrected formation energy values: 0.607; -0.007 eV/atom.